[1]
Density functional theory data (PBE) for crystalline Ta2Re at its relaxed geometry.

Unit cell a=9.944 b=9.944 c=5.231 alpha=90.00 beta=90.00 gamma=90.00
Space group P4_2/mnm (No. 136)
Symmetry-distinct sites (fractional):
Ta 0.035 0.371 0.000 x8
Ta 0.102 0.102 0.000 x4
Ta 0.183 0.817 0.250 x8
Re 0.000 0.000 0.500 x2
Re 0.067 0.255 0.500 x8

Summary:
Final energy = -36.82 eV per formula unit

---

[2]
Density functional theory data (PBE) for crystalline Ta2Re at its relaxed geometry.

Unit cell a=11.056 b=11.056 c=11.056 alpha=90.00 beta=90.00 gamma=90.00
Space group Fd-3m (No. 227, origin choice 2)
Symmetry-distinct sites (fractional):
Ta 0.000 0.000 0.000 x16
Re 0.125 0.125 0.125 x8

Summary:
Final energy = -25.53 eV per formula unit

---

[3]
Density functional theory data (PBE) for crystalline Ta11Re2 at its relaxed geometry.

Unit cell a=5.4110 b=5.4110 c=28.0329 alpha=90.00 beta=90.00 gamma=120.00
Space group R-3m (No. 166, hexagonal axes)
Symmetry-distinct sites (fractional):
Ta 0.0000 0.0000 0.0000 x3
Ta 0.0000 0.0000 0.3519 x6
Ta 0.0000 0.0000 0.4551 x6
Ta 0.0031 0.5015 0.4129 x18
Re 0.0000 0.0000 0.1681 x6

Summary:
Final energy = -152.69 eV per formula unit

---

[4]
Density functional theory data (PBE) for crystalline Ta7Re6 at its relaxed geometry.

Unit cell a=5.2045 b=5.2045 c=28.3684 alpha=90.00 beta=90.00 gamma=120.00
Space group R-3m (No. 166, hexagonal axes)
Symmetry-distinct sites (fractional):
Ta 0.0000 0.0000 0.0000 x3
Ta 0.0000 0.0000 0.1676 x6
Ta 0.0000 0.0000 0.3469 x6
Ta 0.0000 0.0000 0.4519 x6
Re 0.0037 0.5018 0.4118 x18

Summary:
Final energy = -159.84 eV per formula unit

---

[5]
Density functional theory data (PBE) for crystalline Ta2Re at its relaxed geometry.

Unit cell a=5.424 b=9.077 c=8.627 alpha=90.00 beta=90.00 gamma=90.00
Space group Cmcm (No. 63)
Symmetry-distinct sites (fractional):
Ta 0.000 0.169 0.056 x8
Ta 0.246 0.084 0.750 x8
Re 0.000 0.329 0.750 x4
Re 0.000 0.500 0.000 x4

Summary:
Final energy = -36.43 eV per formula unit

---

[6]
Density functional theory data (PBE) for crystalline TaRe14 at its relaxed geometry.

Unit cell a=9.536 b=9.536 c=5.032 alpha=90.00 beta=90.00 gamma=90.00
Space group P4_2/mnm (No. 136)
Symmetry-distinct sites (fractional):
Ta 0.000 0.000 0.000 x2
Re 0.033 0.363 0.500 x8
Re 0.067 0.267 0.000 x8
Re 0.096 0.096 0.500 x4
Re 0.185 0.815 0.251 x8

Summary:
Final energy = -184.20 eV per formula unit

---

[7]
Density functional theory data (PBE) for crystalline Ta4Re at its relaxed geometry.

Unit cell a=10.047 b=10.047 c=5.298 alpha=90.00 beta=90.00 gamma=90.00
Space group P4_2/mnm (No. 136)
Symmetry-distinct sites (fractional):
Ta 0.038 0.365 0.000 x8
Ta 0.065 0.258 0.500 x8
Ta 0.179 0.821 0.247 x8
Re 0.000 0.000 0.500 x2
Re 0.101 0.101 0.000 x4

Summary:
Final energy = -59.88 eV per formula unit

---

[8]
Density functional theory data (PBE) for crystalline Ta9Re4 at its relaxed geometry.

Unit cell a=5.3955 b=5.3955 c=27.3994 alpha=90.00 beta=90.00 gamma=120.00
Space group R-3m (No. 166, hexagonal axes)
Symmetry-distinct sites (fractional):
Ta 0.0000 0.0000 0.0000 x3
Ta 0.0000 0.0000 0.4517 x6
Ta 0.0040 0.5020 0.4116 x18
Re 0.0000 0.0000 0.1692 x6
Re 0.0000 0.0000 0.3552 x6

Summary:
Final energy = -151.39 eV per formula unit

---

[9]
Density functional theory data (PBE) for crystalline Ta11Re4 at its relaxed geometry.

Unit cell a=10.034 b=10.034 c=5.219 alpha=90.00 beta=90.00 gamma=90.00
Space group P4_2/mnm (No. 136)
Symmetry-distinct sites (fractional):
Ta 0.000 0.000 0.000 x2
Ta 0.034 0.369 0.500 x8
Ta 0.061 0.258 0.000 x8
Ta 0.104 0.104 0.500 x4
Re 0.189 0.811 0.252 x8

Summary:
Final energy = -179.93 eV per formula unit

---

[10]
Density functional theory data (PBE) for crystalline Ta13Re16 at its relaxed geometry.

Unit cell a=9.878 b=9.878 c=9.878 alpha=90.00 beta=90.00 gamma=90.00
Space group I-43m (No. 217)
Symmetry-distinct sites (fractional):
Ta 0.000 0.000 0.000 x2
Ta 0.095 0.095 0.709 x24
Re 0.052 0.361 0.639 x24
Re 0.183 0.183 0.183 x8

Summary:
Final energy = -348.66 eV per formula unit

---

[11]
Density functional theory data (PBE) for crystalline Ta13Re16 at its relaxed geometry.

Unit cell a=9.883 b=9.883 c=9.883 alpha=90.00 beta=90.00 gamma=90.00
Space group I-43m (No. 217)
Symmetry-distinct sites (fractional):
Ta 0.000 0.000 0.000 x2
Ta 0.046 0.359 0.641 x24
Re 0.090 0.090 0.721 x24
Re 0.176 0.176 0.176 x8

Summary:
Final energy = -355.46 eV per formula unit

---

[12]
Density functional theory data (PBE) for crystalline TaRe2 at its relaxed geometry.

Unit cell a=5.309 b=8.925 c=8.357 alpha=90.00 beta=90.00 gamma=90.00
Space group Cmcm (No. 63)
Symmetry-distinct sites (fractional):
Ta 0.244 0.082 0.250 x8
Re 0.000 0.174 0.555 x8
Re 0.000 0.328 0.250 x4
Re 0.000 0.500 0.000 x4

Summary:
Final energy = -35.66 eV per formula unit

---

[13]
Density functional theory data (PBE) for crystalline Ta2Re at its relaxed geometry.

Unit cell a=7.499 b=7.499 c=7.499 alpha=90.00 beta=90.00 gamma=90.00
Space group Fd-3m (No. 227, origin choice 2)
Symmetry-distinct sites (fractional):
Ta 0.000 0.000 0.000 x16
Re 0.125 0.125 0.625 x8

Summary:
Final energy = -34.56 eV per formula unit

---

[14]
Density functional theory data (PBE) for crystalline Ta28Re at its relaxed geometry.

Unit cell a=10.244 b=10.244 c=10.244 alpha=90.00 beta=90.00 gamma=90.00
Space group I-43m (No. 217)
Symmetry-distinct sites (fractional):
Ta 0.038 0.360 0.640 x24
Ta 0.092 0.092 0.722 x24
Ta 0.187 0.187 0.187 x8
Re 0.000 0.000 0.000 x2

Summary:
Final energy = -340.60 eV per formula unit

---

[15]
Density functional theory data (PBE) for crystalline Ta3Re at its relaxed geometry.

Unit cell a=5.3563 b=5.3563 c=17.3013 alpha=90.00 beta=90.00 gamma=120.00
Space group P6_3/mmc (No. 194)
Symmetry-distinct sites (fractional):
Ta 0.0000 0.0000 0.0992 x4
Ta 0.0000 0.5000 0.0000 x6
Ta 0.3333 0.6667 0.1298 x4
Ta 0.3333 0.6667 0.6599 x4
Re 0.1599 0.3198 0.2500 x6

Summary:
Final energy = -47.98 eV per formula unit

---

Number 1: magnetization 0.00 μB/atom, calculated formation energy -0.229 eV per atom. Number 2: magnetization 0.63 μB/atom, calculated formation energy 3.533 eV per atom. Number 3: magnetization 0.01 μB/atom, calculated formation energy 0.195 eV per atom. Number 4: magnetization 0.00 μB/atom, calculated formation energy -0.180 eV per atom. Number 5: magnetization 0.00 μB/atom, calculated formation energy -0.101 eV per atom. Number 6: magnetization 0.00 μB/atom, calculated formation energy 0.105 eV per atom. Number 7: magnetization 0.00 μB/atom, calculated formation energy -0.009 eV per atom. Number 8: magnetization 0.00 μB/atom, calculated formation energy 0.383 eV per atom. Number 9: magnetization 0.00 μB/atom, calculated formation energy 0.010 eV per atom. Number 10: magnetization 0.00 μB/atom, calculated formation energy 0.144 eV per atom. Number 11: magnetization 0.00 μB/atom, calculated formation energy -0.090 eV per atom. Number 12: magnetization 0.00 μB/atom, calculated formation energy 0.347 eV per atom. Number 13: magnetization 0.16 μB/atom, calculated formation energy 0.523 eV per atom. Number 14: magnetization 0.00 μB/atom, calculated formation energy 0.127 eV per atom. Number 15: magnetization 0.00 μB/atom, calculated formation energy -0.001 eV per atom.